[1]
Density functional theory data (meta-GGA SCAN) for a PBEsol-optimized structure of ScSbIN2.

Output
Its space group is P4/mmm, No. 123. The calculation puts the uncorrected formation energy at 0.855 eV per atom. For the final energy, the calculation gives -20.510 eV/atom.

Cell lengths 4.1324, 4.1324, 5.9010 Å; angles 90.00, 90.00, 90.00 degrees
Fractional coordinates of all 5 atoms:
Sc (0.0000, 0.0000, 0.0000)
Sb (0.0000, 0.0000, 0.5000)
I (0.5000, 0.5000, 0.0000)
N (0.0000, 0.5000, 0.5000)
N (0.5000, 0.0000, 0.5000)

---

[2]
Density functional theory data (meta-GGA SCAN) for a PBEsol-optimized structure of HfTaS2N.

Output
Its space group is P4/mmm, No. 123. The calculation puts the uncorrected formation energy at -0.286 eV per atom. For the final energy, the calculation gives -31.847 eV/atom.

Cell lengths 4.7735, 4.7735, 3.8274 Å; angles 90.00, 90.00, 90.00 degrees
Fractional coordinates of all 5 atoms:
Hf (0.0000, 0.0000, 0.0000)
Ta (0.5000, 0.5000, 0.5000)
S (0.0000, 0.5000, 0.5000)
S (0.5000, 0.0000, 0.5000)
N (0.5000, 0.5000, 0.0000)

---

[3]
Density functional theory data (meta-GGA SCAN) for a PBEsol-optimized structure of CaSc4Sb.

Output
Its space group is F-43m, No. 216. The calculation puts the uncorrected formation energy at 0.105 eV per atom. For the final energy, the calculation gives -17.207 eV/atom.

Cell lengths 6.0163, 6.0163, 6.0163 Å; angles 60.00, 60.00, 60.00 degrees
Fractional coordinates of all 6 atoms:
Ca (0.0000, 0.0000, 0.0000)
Sc (0.1234, 0.6255, 0.6255)
Sc (0.6255, 0.1234, 0.6255)
Sc (0.6255, 0.6255, 0.1234)
Sc (0.6255, 0.6255, 0.6255)
Sb (0.2500, 0.2500, 0.2500)

---

[4]
Density functional theory data (meta-GGA SCAN) for a PBEsol-optimized structure of UCu2Sn2.

Output
Its space group is P4/nmm, No. 129. The calculation puts the energy relative to the elements at 15.7 meV per atom. For the final energy, the calculation gives -41.138 eV/atom.

Cell lengths 4.3296, 4.3296, 10.3859 Å; angles 90.00, 90.00, 90.00 degrees
Fractional coordinates of all 10 atoms:
U (0.2500, 0.2500, 0.2406)
U (0.7500, 0.7500, 0.7594)
Cu (0.2500, 0.2500, 0.6356)
Cu (0.2500, 0.7500, 0.0000)
Cu (0.7500, 0.2500, 0.0000)
Cu (0.7500, 0.7500, 0.3644)
Sn (0.2500, 0.2500, 0.8697)
Sn (0.2500, 0.7500, 0.5000)
Sn (0.7500, 0.2500, 0.5000)
Sn (0.7500, 0.7500, 0.1303)

---

[5]
Density functional theory data (meta-GGA SCAN) for a PBEsol-optimized structure of Y2AgRh.

Output
Its space group is Pmm2, No. 25. The calculation puts the energy relative to the elements at -427.3 meV per atom. For the final energy, the calculation gives -30.633 eV/atom.

Cell lengths 3.8531, 3.9506, 5.9743 Å; angles 90.00, 90.00, 90.00 degrees
Fractional coordinates of all 4 atoms:
Y (0.0000, 0.0000, 0.0000)
Y (0.5000, 0.5000, 0.3771)
Ag (0.0000, 0.0000, 0.5307)
Rh (0.5000, 0.5000, 0.9033)

---

[6]
Density functional theory data (meta-GGA SCAN) for a PBEsol-optimized structure of CaSc3N.

Output
Its space group is Pm-3m, No. 221. The calculation puts the uncorrected formation energy at 2.324 eV per atom. For the final energy, the calculation gives -10.009 eV/atom.

Cell lengths 4.8190, 4.8190, 4.8190 Å; angles 90.00, 90.00, 90.00 degrees
Fractional coordinates of all 5 atoms:
Ca (0.0000, 0.0000, 0.0000)
Sc (0.0000, 0.0000, 0.5000)
Sc (0.0000, 0.5000, 0.0000)
Sc (0.5000, 0.0000, 0.0000)
N (0.5000, 0.5000, 0.5000)

---

[7]
Density functional theory data (meta-GGA SCAN) for a PBEsol-optimized structure of PmDy3.

Output
Its space group is Pm-3m, No. 221. The calculation puts the energy relative to the elements at 17.5 meV per atom. For the final energy, the calculation gives -46.826 eV/atom.

Cell lengths 4.9367, 4.9367, 4.9367 Å; angles 90.00, 90.00, 90.00 degrees
Fractional coordinates of all 4 atoms:
Pm (0.0000, 0.0000, 0.0000)
Dy (0.0000, 0.5000, 0.5000)
Dy (0.5000, 0.0000, 0.5000)
Dy (0.5000, 0.5000, 0.0000)

---

[8]
Density functional theory data (meta-GGA SCAN) for a PBEsol-optimized structure of CaInSi2.

Output
Its space group is R-3m, No. 166. The calculation puts the uncorrected formation energy at 0.291 eV per atom. For the final energy, the calculation gives -15.479 eV/atom.

Cell lengths 8.4146, 8.4146, 8.4146 Å; angles 24.69, 24.69, 24.69 degrees
Fractional coordinates of all 4 atoms:
Ca (0.0000, 0.0000, 0.0000)
In (0.5000, 0.5000, 0.5000)
Si (0.2422, 0.2422, 0.2422)
Si (0.7578, 0.7578, 0.7578)